# YTh2InN5 | the Alexandria database | PBE | relaxed
data_YTh2InN5
_cell_length_a 3.591
_cell_length_b 14.089
_cell_length_c 11.288
_cell_angle_alpha 90.00
_cell_angle_beta 90.00
_cell_angle_gamma 90.00
_symmetry_space_group_name_H-M 'C m c 21'
_symmetry_Int_Tables_number 36
_symmetry_space_group_name_Hall 'C 2c -2'
loop_
_atom_site_label
_atom_site_fract_x
_atom_site_fract_y
_atom_site_fract_z
_atom_site_occupancy
Y1 0.000 0.219 0.000 1
Th1 0.000 0.124 0.708 1
Th2 0.000 0.131 0.269 1
In1 0.000 0.490 0.490 1
N1 0.000 0.061 0.073 1
N2 0.000 0.290 0.354 1
N3 0.000 0.290 0.660 1
N4 0.000 0.368 0.070 1
N5 0.000 0.489 0.797 1
# E_form (uncorrected): -0.964 eV per atom


# Li2FeW | the Alexandria database | PBE | relaxed
data_Li2FeW
_cell_length_a 2.949
_cell_length_b 3.859
_cell_length_c 9.352
_cell_angle_alpha 90.00
_cell_angle_beta 90.00
_cell_angle_gamma 90.00
_symmetry_space_group_name_H-M 'I m m m'
_symmetry_Int_Tables_number 71
_symmetry_space_group_name_Hall '-I 2 2'
loop_
_atom_site_label
_atom_site_fract_x
_atom_site_fract_y
_atom_site_fract_z
_atom_site_occupancy
Li1 0.000 0.000 0.237 1
Fe1 0.000 0.500 0.500 1
W1 0.000 0.500 0.000 1
# ΔE to the lowest computed polymorph: 0.101 eV per atom
# Energy of formation from the pure elements: 1.49 eV/f.u.


- Number 2 is which compound?
  Li2FeW